(1)
The following is a DFT calculation (PBE) of crystalline Ce2RhI at its relaxed geometry.

The calculation puts the total magnetization at 0.487 μB/atom. As for the density of states at the Fermi level: 12.7 states/eV/f.u.

The structure belongs to space group R-3m (No. 166, hexagonal axes); the cell edges are 4.1346, 4.1346 and 24.0358 Å and the angles 90.00°, 90.00° and 120.00°. The inequivalent atoms are Ce at (0.0000, 0.0000, 0.2295), Rh at (0.0000, 0.0000, 0.5000) and I at (0.0000, 0.0000, 0.0000).


(2)
The following is a DFT calculation (PBE) of crystalline Ce2RhI at its relaxed geometry.

The calculation puts the total magnetization at 0.514 μB/atom. As for the density of states at the Fermi level: 12.4 states/eV/f.u.

The structure belongs to space group R3m (No. 160, hexagonal axes); the cell edges are 4.0789, 4.0789 and 24.4824 Å and the angles 90.00°, 90.00° and 120.00°. The inequivalent atoms are Ce at (0.0000, 0.0000, 0.0000), Ce at (0.0000, 0.0000, 0.2064), Rh at (0.0000, 0.0000, 0.6042) and I at (0.0000, 0.0000, 0.4362).


Computed stability ranking, most favorable first: (1), (2)